No. 1
Below is a geometry-optimized Pu2UCd structure, with properties calculated at the PBE level.

* VASP energy: -38.32 eV per cell
* DFT formation energy: 0.637 eV/atom
* ΔE to the lowest computed polymorph: 480.6 meV/atom

```
Pu2UCd
1.0
1.8521 1.0693 9.2801
-1.8521 1.0693 9.2801
0.0000 -2.1386 9.2801
Pu U Cd
2 1 1
direct
0.1143 0.1143 0.1143
0.8857 0.8857 0.8857
0.5000 0.5000 0.5000
0.0000 0.0000 0.0000
```

***

No. 2
Below is a geometry-optimized CrMo2Os structure, with properties calculated at the PBE level.

* VASP energy: -41.94 eV per cell
* DFT formation energy: 0.145 eV/atom
* ΔE to the lowest computed polymorph: 27.5 meV/atom

```
CrMo2Os
1.0
0.0000 3.0865 3.0865
3.0865 0.0000 3.0865
3.0865 3.0865 0.0000
Cr Mo Os
1 2 1
direct
0.0000 0.0000 0.0000
0.5000 0.5000 0.5000
0.7500 0.7500 0.7500
0.2500 0.2500 0.2500
```

***

No. 3
Below is a geometry-optimized La2CdIr structure, with properties calculated at the PBE level.

* VASP energy: -41.37 eV per cell
* DFT formation energy: -0.263 eV/atom

```
La2CdIr
1.0
-4.1197 4.1197 3.5057
4.1197 -4.1197 3.5057
4.1197 4.1197 -3.5057
La Cd Ir
4 2 2
direct
0.0695 0.1250 0.4445
0.3750 0.9305 0.0555
0.6805 0.6250 0.5555
0.8750 0.3195 0.9445
0.2500 0.7500 0.5000
0.5000 0.5000 0.0000
0.0000 0.0000 0.0000
0.7500 0.2500 0.5000
```

***

No. 4
Below is a geometry-optimized NaZnIn3 structure, with properties calculated at the PBE level.

* VASP energy: -44.09 eV per cell
* DFT formation energy: -0.043 eV/atom
* ΔE to the lowest computed polymorph: 0.0 meV/atom

```
NaZnIn3
1.0
9.5559 0.0000 0.0000
0.0000 4.3236 0.0000
0.0000 0.0000 12.3423
Na Zn In
4 4 12
direct
0.1703 0.2500 0.0088
0.3297 0.7500 0.5088
0.6703 0.2500 0.4912
0.8297 0.7500 0.9912
0.1220 0.2500 0.6312
0.3780 0.7500 0.1312
0.6220 0.2500 0.8688
0.8780 0.7500 0.3688
0.0771 0.2500 0.4093
0.1080 0.7500 0.2123
0.1345 0.7500 0.7957
0.3655 0.2500 0.2957
0.3920 0.2500 0.7123
0.4229 0.7500 0.9093
0.5771 0.2500 0.0907
0.6080 0.7500 0.2877
0.6345 0.7500 0.7043
0.8655 0.2500 0.2043
0.8920 0.2500 0.7877
0.9229 0.7500 0.5907
```

***

Q: What is the formula in the third record?
A: La2CdIr

***

Q: Among the records above, which one has the lowest DFT formation energy?
A: La2CdIr

***

Q: The lowest DFT formation energy belongs to which entry?
A: La2CdIr